Dy3Ho3Cu4: optimized geometry, PBE.

The structure belongs to space group Amm2 (No. 38); the cell edges are 3.706, 11.181 and 11.138 Å and the angles 90.00°, 90.00° and 90.00°. The inequivalent atoms are Dy at (0.000, 0.000, 0.000), Dy at (0.000, 0.164, 0.663), Ho at (0.000, 0.000, 0.329), Ho at (0.500, 0.250, 0.413), Cu at (0.500, 0.000, 0.541), Cu at (0.500, 0.000, 0.786) and Cu at (0.500, 0.122, 0.165).

Dy2Ho3Cu2: optimized geometry, PBE.

The structure belongs to space group C2/m (No. 12); the cell edges are 12.419, 3.605 and 8.981 Å and the angles 90.00°, 116.92° and 90.00°. The inequivalent atoms are Dy at (0.155, 0.000, 0.313), Ho at (0.000, 0.500, 0.500), Ho at (0.114, 0.500, 0.943) and Cu at (0.170, 0.000, 0.730).

Dy2HoCu2: optimized geometry, PBE.

The value obtained for the energy relative to the lowest polymorph listed for this composition is 0.0000 eV/atom.

The structure belongs to space group P2_1/m (No. 11); the cell edges are 3.498, 5.043 and 13.062 Å and the angles 90.00°, 97.69° and 90.00°. The inequivalent atoms are Dy at (0.047, 0.250, 0.094), Dy at (0.230, 0.250, 0.460), Ho at (0.142, 0.750, 0.283), Cu at (0.359, 0.750, 0.720) and Cu at (0.453, 0.250, 0.907).

DyHo2Cu: optimized geometry, PBE.

The value obtained for the energy relative to the lowest polymorph listed for this composition is 0.1370 eV/atom.

The structure belongs to space group R3m (No. 160, hexagonal axes); the cell edges are 3.6251, 3.6251 and 28.9375 Å and the angles 90.00°, 90.00° and 120.00°. The inequivalent atoms are Dy at (0.0000, 0.0000, 0.0000), Ho at (0.0000, 0.0000, 0.5669), Ho at (0.0000, 0.0000, 0.7651) and Cu at (0.0000, 0.0000, 0.1655).

DyHo2Cu2: optimized geometry, PBE.

The value obtained for the energy relative to the lowest polymorph listed for this composition is 0.0713 eV/atom.

The structure belongs to space group P2_1/m (No. 11); the cell edges are 5.000, 4.585 and 10.647 Å and the angles 90.00°, 97.25° and 90.00°. The inequivalent atoms are Dy at (0.191, 0.250, 0.239), Ho at (0.248, 0.750, 0.495), Ho at (0.344, 0.250, 0.887), Cu at (0.124, 0.750, 0.010) and Cu at (0.290, 0.250, 0.636).

Dy5HoCu6: optimized geometry, PBE.

The structure belongs to space group Cmmm (No. 65); the cell edges are 4.921, 14.763 and 6.871 Å and the angles 90.00°, 90.00° and 90.00°. The inequivalent atoms are Dy at (0.000, 0.000, 0.000), Dy at (0.000, 0.333, 0.000), Dy at (0.000, 0.333, 0.500), Ho at (0.000, 0.000, 0.500), Cu at (0.000, 0.166, 0.250) and Cu at (0.000, 0.500, 0.251).

Number 1: N(E_F) 23.89 states/eV/cell, total moment 0.000 μB per atom, ΔE_f -158.5 kJ/mol of formula units. Number 2: N(E_F) 17.21 states/eV/cell, total moment 0.000 μB per atom, ΔE_f -83.7 kJ/mol of formula units. Number 3: N(E_F) 7.91 states/eV/cell, total moment 0.000 μB per atom, ΔE_f -82.6 kJ/mol of formula units. Number 4: N(E_F) 15.77 states/eV/cell, total moment 0.081 μB per atom, ΔE_f 10.3 kJ/mol of formula units. Number 5: N(E_F) 9.68 states/eV/cell, total moment 0.000 μB per atom, ΔE_f -50.2 kJ/mol of formula units. Number 6: N(E_F) 10.42 states/eV/cell, total moment 0.000 μB per atom, ΔE_f -298.2 kJ/mol of formula units.